A relaxed ZrMoBr2 crystal. Source: Alexandria via LeMat-Bulk, functional GGA-PBE.

a = 5.873 Å, b = 5.873 Å, c = 5.873 Å
α = 140.62°, β = 140.62°, γ = 56.91°
Positions (direct):
Mo 0.500 0.500 0.000
Br 0.000 0.000 0.000
Br 0.250 0.750 0.500
Zr 0.750 0.250 0.500

Formation energy from raw total energies, eV/atom: 0.5338
Energy, eV per atom: -5.147
Polymorph energy (0 for the lowest one), meV per atom: 787.8
SG: I-4m2

***

A relaxed ZrMoBr2 crystal. Source: Alexandria via LeMat-Bulk, functional GGA-PBE.

a = 7.707 Å, b = 7.707 Å, c = 4.455 Å
α = 85.60°, β = 85.60°, γ = 25.20°
Positions (direct):
Mo 0.750 0.750 0.750
Br 0.893 0.893 0.033
Br 0.607 0.607 0.467
Zr 0.250 0.250 0.250

Formation energy from raw total energies, eV/atom: -0.2065
Energy, eV per atom: -5.888
Polymorph energy (0 for the lowest one), meV per atom: 47.5
SG: C2/m

***

A relaxed Na4Br3N2 crystal. Source: Alexandria via LeMat-Bulk, functional GGA-PBE.

a = 7.962 Å, b = 8.134 Å, c = 8.084 Å
α = 120.20°, β = 92.74°, γ = 90.00°
Positions (direct):
Na 0.465 0.712 0.898
Na 0.035 0.814 0.102
Na 0.535 0.288 0.102
Na 0.965 0.186 0.898
Na 0.817 0.660 0.439
Na 0.683 0.221 0.561
Na 0.183 0.340 0.561
Na 0.317 0.779 0.439
Br 0.114 0.754 0.734
Br 0.386 0.020 0.266
Br 0.886 0.246 0.266
Br 0.614 0.980 0.734
Br 0.750 0.544 0.000
Br 0.250 0.456 0.000
N 0.497 0.530 0.446
N 0.003 0.084 0.554
N 0.503 0.470 0.554
N 0.997 0.916 0.446

Formation energy from raw total energies, eV/atom: -0.9842
Energy, eV per atom: -3.978
SG: C2/c

***

A relaxed NaBrN2 crystal. Source: Alexandria via LeMat-Bulk, functional GGA-PBE.

a = 6.269 Å, b = 6.269 Å, c = 6.269 Å
α = 36.01°, β = 36.01°, γ = 36.01°
Positions (direct):
Na 0.500 0.500 0.500
Br 0.000 0.000 0.000
N 0.897 0.897 0.897
N 0.103 0.103 0.103

Formation energy from raw total energies, eV/atom: 1.4981
Energy, eV per atom: -3.413
Polymorph energy (0 for the lowest one), meV per atom: 2222.5
SG: R-3m

***

A relaxed NaBr2N2 crystal. Source: Alexandria via LeMat-Bulk, functional GGA-PBE.

a = 3.081 Å, b = 4.323 Å, c = 11.674 Å
α = 85.49°, β = 90.00°, γ = 110.87°
Positions (direct):
Na 0.000 0.000 0.000
Br 0.691 0.382 0.160
Br 0.309 0.618 0.840
N 0.956 0.911 0.466
N 0.044 0.089 0.534

Formation energy from raw total energies, eV/atom: -0.4865
Energy, eV per atom: -4.750
SG: C2/m

***

A relaxed Na2BrN2 crystal. Source: Alexandria via LeMat-Bulk, functional GGA-PBE.

a = 4.062 Å, b = 4.085 Å, c = 7.223 Å
α = 76.40°, β = 73.67°, γ = 60.19°
Positions (direct):
Na 0.235 0.268 0.262
Na 0.765 0.732 0.738
Br 0.000 0.000 0.000
N 0.551 0.350 0.549
N 0.449 0.650 0.451

Formation energy from raw total energies, eV/atom: -0.6049
Energy, eV per atom: -4.797
SG: C2/m

***

A relaxed NaBrN2 crystal. Source: Alexandria via LeMat-Bulk, functional GGA-PBE.

a = 7.033 Å, b = 7.033 Å, c = 7.033 Å
α = 26.69°, β = 26.69°, γ = 26.69°
Positions (direct):
Na 0.000 0.000 0.000
Br 0.500 0.500 0.500
N 0.890 0.890 0.890
N 0.110 0.110 0.110

Formation energy from raw total energies, eV/atom: 1.6991
Energy, eV per atom: -3.212
Polymorph energy (0 for the lowest one), meV per atom: 2423.5
SG: R-3m

***

A relaxed NaBrN2 crystal. Source: Alexandria via LeMat-Bulk, functional GGA-PBE.

a = 5.679 Å, b = 4.992 Å, c = 9.630 Å
α = 90.00°, β = 107.25°, γ = 90.00°
Positions (direct):
Na 0.722 0.750 0.945
Na 0.278 0.250 0.055
Br 0.804 0.250 0.107
Br 0.196 0.750 0.893
N 0.416 0.638 0.330
N 0.584 0.362 0.670
N 0.416 0.862 0.330
N 0.584 0.138 0.670

Formation energy from raw total energies, eV/atom: -0.7244
Energy, eV per atom: -5.635
Polymorph energy (0 for the lowest one), meV per atom: 0.0
SG: P2_1/m

***

A relaxed NaBrN2 crystal. Source: Alexandria via LeMat-Bulk, functional GGA-PBE.

a = 4.156 Å, b = 4.156 Å, c = 4.156 Å
α = 60.00°, β = 60.00°, γ = 60.00°
Positions (direct):
Na 0.000 0.000 0.000
Br 0.500 0.500 0.500
N 0.250 0.250 0.250
N 0.750 0.750 0.750

Formation energy from raw total energies, eV/atom: 2.0081
Energy, eV per atom: -2.903
Polymorph energy (0 for the lowest one), meV per atom: 2732.5
SG: Fm-3m

***

A relaxed NaBrN crystal. Source: Alexandria via LeMat-Bulk, functional GGA-PBE.

a = 4.187 Å, b = 5.919 Å, c = 10.844 Å
α = 97.72°, β = 81.06°, γ = 134.88°
Positions (direct):
Na 0.010 0.754 0.256
Na 0.913 0.270 0.522
Br 0.906 0.771 0.536
Br 0.017 0.253 0.243
N 0.402 0.776 0.015
N 0.521 0.248 0.763

Formation energy from raw total energies, eV/atom: 0.7140
Energy, eV per atom: -3.058
Polymorph energy (0 for the lowest one), meV per atom: 252.5
SG: P-1

***

A relaxed Na4Br2N crystal. Source: Alexandria via LeMat-Bulk, functional GGA-PBE.

a = 4.679 Å, b = 4.679 Å, c = 8.339 Å
α = 73.71°, β = 73.71°, γ = 90.00°
Positions (direct):
Na 0.158 0.158 0.683
Na 0.842 0.842 0.317
Na 0.000 0.500 0.000
Na 0.500 0.000 0.000
Br 0.350 0.350 0.301
Br 0.650 0.650 0.699
N 0.000 0.000 0.000

Formation energy from raw total energies, eV/atom: -0.6500
Energy, eV per atom: -3.071
SG: I4/mmm

***

A relaxed NaBrN crystal. Source: Alexandria via LeMat-Bulk, functional GGA-PBE.

a = 4.849 Å, b = 4.555 Å, c = 6.391 Å
α = 90.10°, β = 109.57°, γ = 89.99°
Positions (direct):
N 0.728 0.751 0.199
N 0.272 0.249 0.801
Br 0.133 0.751 0.284
Br 0.867 0.249 0.716
Na 0.444 0.749 0.799
Na 0.556 0.251 0.201

Formation energy from raw total energies, eV/atom: 0.4615
Energy, eV per atom: -3.311
Polymorph energy (0 for the lowest one), meV per atom: 0.0
SG: P-1

***

A relaxed Na3BrN crystal. Source: Alexandria via LeMat-Bulk, functional GGA-PBE.

a = 4.764 Å, b = 4.764 Å, c = 4.764 Å
α = 90.00°, β = 90.00°, γ = 90.00°
Positions (direct):
Na 0.000 0.500 0.000
Na 0.000 0.000 0.500
Na 0.500 0.000 0.000
Br 0.500 0.500 0.500
N 0.000 0.000 0.000

Formation energy from raw total energies, eV/atom: -0.2965
Energy, eV per atom: -3.088
Polymorph energy (0 for the lowest one), meV per atom: 0.0
SG: Pm-3m

***

A relaxed NaBrN2 crystal. Source: Alexandria via LeMat-Bulk, functional GGA-PBE.

a = 5.191 Å, b = 5.191 Å, c = 6.226 Å
α = 65.36°, β = 65.36°, γ = 90.00°
Positions (direct):
Na 0.500 0.500 0.000
Na 0.250 0.750 0.500
Br 0.000 0.000 0.000
Br 0.750 0.250 0.500
N 0.702 0.125 0.250
N 0.048 0.625 0.250
N 0.375 0.298 0.750
N 0.875 0.952 0.750

Formation energy from raw total energies, eV/atom: 1.5592
Energy, eV per atom: -3.351
Polymorph energy (0 for the lowest one), meV per atom: 2283.6
SG: I-42d